1.
! Be4CdW (PBE-GGA, optimized geometry); values from VASP
&SYSTEM
  ibrav = 0, nat = 6, ntyp = 3
/
ATOMIC_SPECIES
Be 9.01 Be.upf
Cd 112.41 Cd.upf
W 183.84 W.upf
ATOMIC_POSITIONS angstrom
Be 2.393 2.393 4.083
Be 4.083 4.083 4.083
Be 2.393 4.083 2.393
Be 4.083 2.393 2.393
Cd 1.619 1.619 1.619
W 0.000 0.000 0.000
CELL_PARAMETERS angstrom
0.000 3.238 3.238
3.238 0.000 3.238
3.238 3.238 0.000
! Calculated formation energy ... 0.2892 eV/atom
! Size of the total moment ... 0.000 μB/f.u.
! DOS(E_F) ... 4.0 states/eV/f.u.

=====

2.
! BeCd3W (PBE-GGA, optimized geometry); values from VASP
&SYSTEM
  ibrav = 0, nat = 5, ntyp = 3
/
ATOMIC_SPECIES
Cd 112.41 Cd.upf
W 183.84 W.upf
Be 9.01 Be.upf
ATOMIC_POSITIONS angstrom
Cd 0.000 2.289 0.000
Cd 0.000 0.000 2.289
Cd 2.289 0.000 0.000
W 2.289 2.289 2.289
Be 0.000 0.000 0.000
CELL_PARAMETERS angstrom
4.579 0.000 0.000
0.000 4.579 0.000
0.000 0.000 4.579
! Calculated formation energy ... 1.1819 eV/atom
! Size of the total moment ... 2.494 μB/f.u.
! DOS(E_F) ... 3.6 states/eV/f.u.

=====

Number 1: energy -4.506 eV/atom, V 67.90 Å³/cell, ρ 8127 kg/m3. Number 2: energy -2.703 eV/atom, V 95.99 Å³/cell, ρ 9170 kg/m3.